SiB3C | Alexandria via LeMat-Bulk | PBE-GGA | relaxed; symmetry = No. 38; formation energy without anion corrections = 1.31 eV per formula unit; E = -33.37 eV per formula unit; energy above the lowest structure with this stoichiometry = 60 meV/atom; D(E_F) = 0.78 states/eV per cell
1.0
2.948 0.000 0.000
0.000 1.495 5.061
0.000 -1.495 5.061
Si B C
1 3 1
direct
0.000 0.000 0.000
0.500 0.134 0.134
0.500 0.309 0.309
0.500 0.700 0.700
0.000 0.388 0.388

La2TaPb2 | Alexandria via LeMat-Bulk | PBE-GGA | relaxed; energy of formation from the pure elements = 0.391 eV/atom; symmetry = No. 127; E = -27.17 eV per formula unit; energy above the lowest structure with this stoichiometry = 433 meV/atom; D(E_F) = 10.62 states/eV per cell
1.0
8.021 0.000 0.000
0.000 8.021 0.000
0.000 0.000 4.958
La Ta Pb
4 2 4
direct
0.169 0.331 0.000
0.331 0.831 0.000
0.669 0.169 0.000
0.831 0.669 0.000
0.000 0.000 0.000
0.500 0.500 0.000
0.143 0.643 0.500
0.357 0.143 0.500
0.643 0.857 0.500
0.857 0.357 0.500

Which value of E does entry 1 give?
-33.37 eV per formula unit

What is the formula in the first record?
SiB3C